# Ti3ZnRh (PBE, relaxed)
data_Ti3ZnRh
_symmetry_space_group_name_H-M 'P 1'
_symmetry_Int_Tables_number 1
_symmetry_space_group_name_Hall 'P 1'
_cell_length_a 4.2886
_cell_length_b 7.2374
_cell_length_c 5.4827
_cell_angle_alpha 90.00
_cell_angle_beta 91.48
_cell_angle_gamma 90.00
loop_
_atom_site_label
_atom_site_fract_x
_atom_site_fract_y
_atom_site_fract_z
_atom_site_occupancy
Ti1 0.1060 0.2500 0.0015 1
Ti2 0.3827 0.5607 0.7427 1
Ti3 0.3827 0.9393 0.7427 1
Ti4 0.6173 0.0607 0.2573 1
Ti5 0.6173 0.4393 0.2573 1
Ti6 0.8940 0.7500 0.9985 1
Zn1 0.1151 0.2500 0.4804 1
Zn2 0.8849 0.7500 0.5196 1
Rh1 0.3772 0.7500 0.2509 1
Rh2 0.6228 0.2500 0.7491 1
# - total energy (eV/atom) = -6.60
# - energy relative to the lowest polymorph listed for this composition (kJ/mol of formula units) = 0
# - space-group type = No. 11

# CoRu2Br (PBE, relaxed)
data_CoRu2Br
_symmetry_space_group_name_H-M 'P 1'
_symmetry_Int_Tables_number 1
_symmetry_space_group_name_Hall 'P 1'
_cell_length_a 4.4353
_cell_length_b 4.4353
_cell_length_c 2.9375
_cell_angle_alpha 90.00
_cell_angle_beta 90.00
_cell_angle_gamma 90.00
loop_
_atom_site_label
_atom_site_fract_x
_atom_site_fract_y
_atom_site_fract_z
_atom_site_occupancy
Co1 0.0000 0.0000 0.0000 1
Ru1 0.0000 0.5000 0.5000 1
Ru2 0.5000 0.0000 0.5000 1
Br1 0.5000 0.5000 0.0000 1
# - total energy (eV/atom) = -5.93
# - energy relative to the lowest polymorph listed for this composition (kJ/mol of formula units) = 139
# - space-group type = No. 123

# In2Ga3Hg5 (PBE, relaxed)
data_In2Ga3Hg5
_symmetry_space_group_name_H-M 'P 1'
_symmetry_Int_Tables_number 1
_symmetry_space_group_name_Hall 'P 1'
_cell_length_a 7.3629
_cell_length_b 7.3629
_cell_length_c 9.9074
_cell_angle_alpha 99.97
_cell_angle_beta 99.97
_cell_angle_gamma 27.76
loop_
_atom_site_label
_atom_site_fract_x
_atom_site_fract_y
_atom_site_fract_z
_atom_site_occupancy
In1 0.1530 0.1530 0.2173 1
In2 0.8470 0.8470 0.7827 1
Ga1 0.0000 0.0000 0.5000 1
Ga2 0.4788 0.4788 0.2767 1
Ga3 0.5212 0.5212 0.7233 1
Hg1 0.1774 0.1774 0.8769 1
Hg2 0.3288 0.3288 0.4612 1
Hg3 0.5000 0.5000 0.0000 1
Hg4 0.6712 0.6712 0.5388 1
Hg5 0.8226 0.8226 0.1231 1
# - total energy (eV/atom) = -1.56
# - space-group type = No. 12

# Na10B17C3 (PBE, relaxed)
data_Na10B17C3
_symmetry_space_group_name_H-M 'P 1'
_symmetry_Int_Tables_number 1
_symmetry_space_group_name_Hall 'P 1'
_cell_length_a 8.6940
_cell_length_b 13.4481
_cell_length_c 13.4481
_cell_angle_alpha 12.03
_cell_angle_beta 90.00
_cell_angle_gamma 90.00
loop_
_atom_site_label
_atom_site_fract_x
_atom_site_fract_y
_atom_site_fract_z
_atom_site_occupancy
Na1 0.2485 0.0000 0.0000 1
Na2 0.2491 0.7994 0.7994 1
Na3 0.2503 0.1996 0.1996 1
Na4 0.2504 0.6002 0.6002 1
Na5 0.2523 0.4001 0.4001 1
Na6 0.7477 0.4001 0.4001 1
Na7 0.7497 0.1996 0.1996 1
Na8 0.7496 0.6002 0.6002 1
Na9 0.7509 0.7994 0.7994 1
Na10 0.7515 0.0000 0.0000 1
B1 0.0000 0.0711 0.0711 1
B2 0.0000 0.2697 0.2697 1
B3 0.0000 0.3326 0.3326 1
B4 0.0000 0.4648 0.4648 1
B5 0.0000 0.5309 0.5309 1
B6 0.0000 0.6614 0.6614 1
B7 0.0000 0.7274 0.7274 1
B8 0.0000 0.8754 0.8754 1
B9 0.5000 0.0707 0.0707 1
B10 0.5000 0.1341 0.1341 1
B11 0.5000 0.3254 0.3254 1
B12 0.5000 0.4682 0.4682 1
B13 0.5000 0.5308 0.5308 1
B14 0.5000 0.6724 0.6724 1
B15 0.5000 0.7376 0.7376 1
B16 0.5000 0.8651 0.8651 1
B17 0.5000 0.9274 0.9274 1
C1 0.0000 0.1307 0.1307 1
C2 0.0000 0.9335 0.9335 1
C3 0.5000 0.2670 0.2670 1
# - total energy (eV/atom) = -4.93
# - energy relative to the lowest polymorph listed for this composition (kJ/mol of formula units) = 23
# - space-group type = No. 38

# Y2FeSb (PBE, relaxed)
data_Y2FeSb
_symmetry_space_group_name_H-M 'P 1'
_symmetry_Int_Tables_number 1
_symmetry_space_group_name_Hall 'P 1'
_cell_length_a 3.4601
_cell_length_b 3.4601
_cell_length_c 8.1348
_cell_angle_alpha 90.00
_cell_angle_beta 90.00
_cell_angle_gamma 90.00
loop_
_atom_site_label
_atom_site_fract_x
_atom_site_fract_y
_atom_site_fract_z
_atom_site_occupancy
Y1 0.0000 0.0000 0.0000 1
Y2 0.5000 0.5000 0.3504 1
Fe1 0.0000 0.0000 0.5776 1
Sb1 0.5000 0.5000 0.7332 1
# - total energy (eV/atom) = -6.48
# - space-group type = No. 99

# TbMg14Sc (PBE, relaxed)
data_TbMg14Sc
_symmetry_space_group_name_H-M 'P 1'
_symmetry_Int_Tables_number 1
_symmetry_space_group_name_Hall 'P 1'
_cell_length_a 6.8982
_cell_length_b 6.8982
_cell_length_c 7.8786
_cell_angle_alpha 90.00
_cell_angle_beta 90.00
_cell_angle_gamma 90.00
loop_
_atom_site_label
_atom_site_fract_x
_atom_site_fract_y
_atom_site_fract_z
_atom_site_occupancy
Tb1 0.0000 0.0000 0.0000 1
Mg1 0.0000 0.0000 0.5000 1
Mg2 0.0000 0.5000 0.0000 1
Mg3 0.0000 0.5000 0.5000 1
Mg4 0.2551 0.2551 0.2559 1
Mg5 0.2551 0.2551 0.7441 1
Mg6 0.2551 0.7449 0.2559 1
Mg7 0.2551 0.7449 0.7441 1
Mg8 0.5000 0.0000 0.0000 1
Mg9 0.5000 0.0000 0.5000 1
Mg10 0.5000 0.5000 0.5000 1
Mg11 0.7449 0.2551 0.2559 1
Mg12 0.7449 0.2551 0.7441 1
Mg13 0.7449 0.7449 0.2559 1
Mg14 0.7449 0.7449 0.7441 1
Sc1 0.5000 0.5000 0.0000 1
# - total energy (eV/atom) = -2.10
# - space-group type = No. 123